No. 1
! PrTmHfN3 PBE optimized geometry; values from VASP
! Total magnetic moment ... 0.43 μB per formula unit
! VASP energy ... -8.743 eV per atom
! Formation energy without anion corrections ... -1380 meV/atom
! DOS at the Fermi energy ... 0.25 states/eV/atom
&SYSTEM
  ibrav = 0, nat = 12, ntyp = 4
/
ATOMIC_SPECIES
Pr 140.91 Pr.upf
Tm 168.93 Tm.upf
Hf 178.49 Hf.upf
N 14.01 N.upf
ATOMIC_POSITIONS crystal
Pr 0.161 0.250 0.214
Pr 0.839 0.750 0.786
Tm 0.198 0.250 0.576
Tm 0.802 0.750 0.424
Hf 0.351 0.750 0.892
Hf 0.649 0.250 0.108
N 0.148 0.250 0.834
N 0.153 0.750 0.423
N 0.402 0.750 0.108
N 0.598 0.250 0.892
N 0.847 0.250 0.577
N 0.852 0.750 0.166
CELL_PARAMETERS angstrom
6.511 0.000 0.000
0.000 3.303 0.000
-0.724 0.000 9.508

=====

No. 2
! Pr2HfUN5 PBE optimized geometry; values from VASP
! Total magnetic moment ... 0.27 μB per formula unit
! VASP energy ... -9.133 eV per atom
! Formation energy without anion corrections ... -1086 meV/atom
! DOS at the Fermi energy ... 0.45 states/eV/atom
&SYSTEM
  ibrav = 0, nat = 9, ntyp = 4
/
ATOMIC_SPECIES
Pr 140.91 Pr.upf
Hf 178.49 Hf.upf
U 238.03 U.upf
N 14.01 N.upf
ATOMIC_POSITIONS crystal
Pr 0.000 0.000 0.238
Pr 0.000 0.000 0.762
Hf 0.500 0.500 0.500
U 0.500 0.500 0.000
N 0.000 0.000 0.500
N 0.000 0.500 0.000
N 0.500 0.000 0.000
N 0.500 0.500 0.266
N 0.500 0.500 0.734
CELL_PARAMETERS angstrom
4.061 0.000 0.000
0.000 4.061 0.000
0.000 0.000 8.877

=====

No. 3
! Pr2HfUN4 PBE optimized geometry; values from VASP
! Total magnetic moment ... 0.10 μB per formula unit
! VASP energy ... -9.510 eV per atom
! Formation energy without anion corrections ... -1497 meV/atom
! DOS at the Fermi energy ... 0.37 states/eV/atom
&SYSTEM
  ibrav = 0, nat = 8, ntyp = 4
/
ATOMIC_SPECIES
Pr 140.91 Pr.upf
Hf 178.49 Hf.upf
U 238.03 U.upf
N 14.01 N.upf
ATOMIC_POSITIONS crystal
Pr 0.000 0.000 0.000
Pr 0.500 0.500 0.000
Hf 0.000 0.500 0.500
U 0.500 0.000 0.500
N 0.235 0.000 0.698
N 0.262 0.500 0.300
N 0.738 0.500 0.700
N 0.765 0.000 0.302
CELL_PARAMETERS angstrom
5.910 0.000 0.000
0.000 3.454 0.000
-1.943 0.000 5.841

=====

No. 4
! PrHf2VN4 PBE optimized geometry; values from VASP
! Total magnetic moment ... 0.00 μB per formula unit
! VASP energy ... -9.797 eV per atom
! Formation energy without anion corrections ... -1408 meV/atom
! DOS at the Fermi energy ... 0.39 states/eV/atom
&SYSTEM
  ibrav = 0, nat = 16, ntyp = 4
/
ATOMIC_SPECIES
Pr 140.91 Pr.upf
Hf 178.49 Hf.upf
V 50.94 V.upf
N 14.01 N.upf
ATOMIC_POSITIONS crystal
Pr 0.095 0.905 0.750
Pr 0.905 0.095 0.250
Hf 0.369 0.631 0.544
Hf 0.369 0.631 0.956
Hf 0.631 0.369 0.044
Hf 0.631 0.369 0.456
V 0.166 0.834 0.250
V 0.834 0.166 0.750
N 0.000 0.000 0.000
N 0.000 0.000 0.500
N 0.262 0.738 0.112
N 0.262 0.738 0.388
N 0.429 0.571 0.750
N 0.571 0.429 0.250
N 0.738 0.262 0.612
N 0.738 0.262 0.888
CELL_PARAMETERS angstrom
1.638 -5.657 0.000
1.638 5.657 0.000
0.000 0.000 11.139

=====

No. 5
! PrHfVN3 PBE optimized geometry; values from VASP
! Total magnetic moment ... 0.00 μB per formula unit
! VASP energy ... -9.372 eV per atom
! Formation energy without anion corrections ... -1234 meV/atom
! DOS at the Fermi energy ... 0.39 states/eV/atom
&SYSTEM
  ibrav = 0, nat = 12, ntyp = 4
/
ATOMIC_SPECIES
Pr 140.91 Pr.upf
Hf 178.49 Hf.upf
V 50.94 V.upf
N 14.01 N.upf
ATOMIC_POSITIONS crystal
Pr 0.185 0.250 0.181
Pr 0.815 0.750 0.819
Hf 0.351 0.750 0.855
Hf 0.649 0.250 0.145
V 0.087 0.250 0.607
V 0.913 0.750 0.393
N 0.124 0.250 0.857
N 0.185 0.750 0.544
N 0.441 0.750 0.142
N 0.559 0.250 0.858
N 0.815 0.250 0.456
N 0.876 0.750 0.143
CELL_PARAMETERS angstrom
7.066 0.000 0.000
0.000 3.359 0.000
-1.840 0.000 7.513

=====

No. 6
! PrY2HfN4 PBE optimized geometry; values from VASP
! Total magnetic moment ... 0.00 μB per formula unit
! VASP energy ... -9.197 eV per atom
! Formation energy without anion corrections ... -1577 meV/atom
! DOS at the Fermi energy ... 0.16 states/eV/atom
&SYSTEM
  ibrav = 0, nat = 8, ntyp = 4
/
ATOMIC_SPECIES
Pr 140.91 Pr.upf
Y 88.91 Y.upf
Hf 178.49 Hf.upf
N 14.01 N.upf
ATOMIC_POSITIONS crystal
Pr 0.000 0.000 0.000
Y 0.500 0.000 0.500
Y 0.500 0.500 0.000
Hf 0.000 0.500 0.500
N 0.236 0.000 0.726
N 0.246 0.500 0.274
N 0.754 0.500 0.726
N 0.764 0.000 0.274
CELL_PARAMETERS angstrom
5.958 0.000 0.000
0.000 3.444 0.000
-1.981 0.000 5.691

=====

No. 7
! PrHfZnN3 PBE optimized geometry; values from VASP
! Total magnetic moment ... 0.00 μB per formula unit
! VASP energy ... -7.809 eV per atom
! Formation energy without anion corrections ... -978 meV/atom
&SYSTEM
  ibrav = 0, nat = 12, ntyp = 4
/
ATOMIC_SPECIES
Pr 140.91 Pr.upf
Hf 178.49 Hf.upf
Zn 65.41 Zn.upf
N 14.01 N.upf
ATOMIC_POSITIONS crystal
Pr 0.199 0.250 0.227
Pr 0.801 0.750 0.773
Hf 0.338 0.750 0.857
Hf 0.662 0.250 0.143
Zn 0.111 0.250 0.596
Zn 0.889 0.750 0.404
N 0.134 0.250 0.870
N 0.215 0.750 0.501
N 0.442 0.750 0.145
N 0.558 0.250 0.855
N 0.785 0.250 0.499
N 0.866 0.750 0.130
CELL_PARAMETERS angstrom
7.003 0.000 0.000
0.000 3.352 0.000
-1.696 0.000 7.247

=====

No. 8
! HfPt3N PBE optimized geometry; values from VASP
! Energy above the lowest structure with this stoichiometry ... 1.731 eV per atom
! Total magnetic moment ... 2.44 μB per formula unit
! VASP energy ... -5.470 eV per atom
! Formation energy without anion corrections ... 1810 meV/atom
! DOS at the Fermi energy ... 0.45 states/eV/atom
&SYSTEM
  ibrav = 0, nat = 5, ntyp = 3
/
ATOMIC_SPECIES
Hf 178.49 Hf.upf
Pt 195.08 Pt.upf
N 14.01 N.upf
ATOMIC_POSITIONS crystal
Hf 0.000 0.000 0.000
Pt 0.000 0.000 0.500
Pt 0.000 0.500 0.000
Pt 0.500 0.000 0.000
N 0.500 0.500 0.500
CELL_PARAMETERS angstrom
4.987 0.000 0.000
0.000 4.987 0.000
0.000 0.000 4.987

=====

No. 9
! Hf3PtN PBE optimized geometry; values from VASP
! Total magnetic moment ... 0.00 μB per formula unit
! VASP energy ... -9.940 eV per atom
! Formation energy without anion corrections ... -1095 meV/atom
! DOS at the Fermi energy ... 0.70 states/eV/atom
&SYSTEM
  ibrav = 0, nat = 20, ntyp = 3
/
ATOMIC_SPECIES
Hf 178.49 Hf.upf
Pt 195.08 Pt.upf
N 14.01 N.upf
ATOMIC_POSITIONS crystal
Hf 0.046 0.742 0.948
Hf 0.180 0.572 0.400
Hf 0.258 0.954 0.552
Hf 0.307 0.454 0.897
Hf 0.428 0.820 0.100
Hf 0.454 0.307 0.397
Hf 0.546 0.693 0.603
Hf 0.572 0.180 0.900
Hf 0.693 0.546 0.103
Hf 0.742 0.046 0.448
Hf 0.820 0.428 0.600
Hf 0.954 0.258 0.052
Pt 0.092 0.237 0.563
Pt 0.237 0.092 0.063
Pt 0.763 0.908 0.937
Pt 0.908 0.763 0.437
N 0.292 0.708 0.750
N 0.437 0.563 0.250
N 0.563 0.437 0.750
N 0.708 0.292 0.250
CELL_PARAMETERS angstrom
5.225 -5.962 0.000
5.225 5.962 0.000
-0.453 0.000 5.452

=====

No. 10
! Hf6PtN PBE optimized geometry; values from VASP
! Total magnetic moment ... 0.00 μB per formula unit
! VASP energy ... -9.939 eV per atom
! Formation energy without anion corrections ... -678 meV/atom
! DOS at the Fermi energy ... 0.75 states/eV/atom
&SYSTEM
  ibrav = 0, nat = 8, ntyp = 3
/
ATOMIC_SPECIES
Hf 178.49 Hf.upf
Pt 195.08 Pt.upf
N 14.01 N.upf
ATOMIC_POSITIONS crystal
Hf 0.058 0.296 0.155
Hf 0.229 0.828 0.478
Hf 0.397 0.374 0.749
Hf 0.603 0.626 0.251
Hf 0.771 0.172 0.522
Hf 0.942 0.704 0.845
Pt 0.500 0.000 0.000
N 0.000 0.500 0.500
CELL_PARAMETERS angstrom
5.077 0.000 0.000
-0.131 5.679 0.000
-2.344 -0.887 5.295

=====

No. 11
! Hf3PtN PBE optimized geometry; values from VASP
! Total magnetic moment ... 0.00 μB per formula unit
! VASP energy ... -9.663 eV per atom
! Formation energy without anion corrections ... -818 meV/atom
! DOS at the Fermi energy ... 0.75 states/eV/atom
&SYSTEM
  ibrav = 0, nat = 10, ntyp = 3
/
ATOMIC_SPECIES
Hf 178.49 Hf.upf
Pt 195.08 Pt.upf
N 14.01 N.upf
ATOMIC_POSITIONS crystal
Hf 0.000 0.000 0.250
Hf 0.000 0.000 0.750
Hf 0.333 0.667 0.098
Hf 0.333 0.667 0.402
Hf 0.667 0.333 0.598
Hf 0.667 0.333 0.902
Pt 0.000 0.000 0.000
Pt 0.000 0.000 0.500
N 0.333 0.667 0.250
N 0.667 0.333 0.750
CELL_PARAMETERS angstrom
3.942 0.000 0.000
-1.971 3.414 0.000
0.000 0.000 14.071

=====

No. 12
! Hf3PtN PBE optimized geometry; values from VASP
! Total magnetic moment ... 0.00 μB per formula unit
! VASP energy ... -9.834 eV per atom
! Formation energy without anion corrections ... -989 meV/atom
! DOS at the Fermi energy ... 1.42 states/eV/atom
&SYSTEM
  ibrav = 0, nat = 20, ntyp = 3
/
ATOMIC_SPECIES
Hf 178.49 Hf.upf
Pt 195.08 Pt.upf
N 14.01 N.upf
ATOMIC_POSITIONS crystal
Hf 0.015 0.083 0.230
Hf 0.015 0.417 0.730
Hf 0.178 0.746 0.567
Hf 0.178 0.754 0.067
Hf 0.426 0.240 0.541
Hf 0.426 0.260 0.041
Hf 0.574 0.740 0.959
Hf 0.574 0.760 0.459
Hf 0.822 0.246 0.933
Hf 0.822 0.254 0.433
Hf 0.985 0.583 0.270
Hf 0.985 0.917 0.770
Pt 0.359 0.121 0.749
Pt 0.359 0.379 0.249
Pt 0.641 0.621 0.751
Pt 0.641 0.879 0.251
N 0.242 0.595 0.923
N 0.242 0.905 0.423
N 0.758 0.095 0.577
N 0.758 0.405 0.077
CELL_PARAMETERS angstrom
6.513 0.000 0.000
0.000 5.641 0.000
-6.487 0.000 9.675